No. 1
The following is a DFT calculation (PBE-GGA) of Na3TcS after structural relaxation.

Results
Space-group type   Pm-3m
Uncorrected formation energy   1.12 eV/atom
Total DFT energy (no corrections)   -2.57 eV per atom
Distance to the lowest polymorph of the same formula   653 meV per atom

Unit cell a=5.6149 b=5.6149 c=5.6149 alpha=90.00 beta=90.00 gamma=90.00
Each line ends with the local moment (μB).
Positions (direct):
Na 0.5000 0.0000 0.0000  0.01
S 0.5000 0.5000 0.5000  0.19
Na 0.0000 0.0000 0.5000  -0.01
Na 0.0000 0.5000 0.0000  0.00
Tc 0.0000 0.0000 0.0000  3.05



No. 2
The following is a DFT calculation (PBE-GGA) of NaTcS2 after structural relaxation.

Results
Space-group type   R-3m
Uncorrected formation energy   -0.39 eV/atom
Total DFT energy (no corrections)   -5.38 eV per atom
Distance to the lowest polymorph of the same formula   253 meV per atom

Unit cell a=8.2683 b=8.2683 c=8.2683 alpha=24.60 beta=24.60 gamma=24.60
Each line ends with the local moment (μB).
Positions (direct):
S 0.8900 0.8900 0.8900  0.05
Tc 0.5000 0.5000 0.5000  1.64
S 0.1100 0.1100 0.1100  0.05
Na 0.0000 0.0000 0.0000  0.01



No. 3
The following is a DFT calculation (PBE-GGA) of NaTcS3 after structural relaxation.

Results
Space-group type   Pm-3m
Uncorrected formation energy   -0.20 eV/atom
Total DFT energy (no corrections)   -5.01 eV per atom
Distance to the lowest polymorph of the same formula   0 meV per atom

Unit cell a=4.6954 b=4.6954 c=4.6954 alpha=90.00 beta=90.00 gamma=90.00
Positions (direct):
S 0.0000 0.5000 0.0000
Na 0.5000 0.5000 0.5000
Tc 0.0000 0.0000 0.0000
S 0.5000 0.0000 0.0000
S 0.0000 0.0000 0.5000